Compound: Cs2InHgBr6
Source: OQMD via LeMat-Bulk
Functional: PBE
Structure: optimized geometry

Cell: 8.022 8.022 8.021 Å, 119.97 119.97 60.04°
Fractional positions:
Br: 0.757 0.757 0.256
Br: 0.757 0.244 0.257
Br: 0.244 0.757 0.257
Br: 0.756 0.243 0.743
Br: 0.243 0.756 0.743
Br: 0.243 0.243 0.744
Cs: 0.250 0.250 0.250
Cs: 0.750 0.750 0.750
Hg: 0.500 0.500 0.000
In: 0.000 0.000 0.500

Calculated values
* electronic total energy: -2.603 eV per atom
* mass density: 4.82 g/cm³
* space-group type: C2/m

Compound: Li4CdGa2Pt
Source: OQMD via LeMat-Bulk
Functional: PBE
Structure: optimized geometry

Cell: 4.385 4.385 6.269 Å, 90.00 90.00 90.00°
Fractional positions:
Cd: 0.000 0.000 0.000
Ga: 0.500 0.000 0.278
Ga: 0.000 0.500 0.722
Li: 0.500 0.500 0.000
Li: 0.000 0.500 0.266
Li: 0.000 0.000 0.500
Li: 0.500 0.000 0.734
Pt: 0.500 0.500 0.500

Calculated values
* electronic total energy: -3.048 eV per atom
* mass density: 6.54 g/cm³
* space-group type: P-4m2

Compound: ZnFeSb
Source: OQMD via LeMat-Bulk
Functional: PBE
Structure: optimized geometry

Cell: 7.186 7.186 3.648 Å, 90.00 90.00 120.00°
Fractional positions:
Fe: 0.631 0.000 0.500
Fe: 0.369 0.369 0.500
Fe: 0.000 0.631 0.500
Sb: 0.667 0.333 0.000
Sb: 0.333 0.667 0.000
Sb: 0.000 0.000 0.500
Zn: 0.279 0.000 0.000
Zn: 0.000 0.279 0.000
Zn: 0.721 0.721 0.000

Calculated values
* electronic total energy: -4.102 eV per atom
* mass density: 7.42 g/cm³
* space-group type: P-62m

Compound: MgPtSeO
Source: OQMD via LeMat-Bulk
Functional: PBE
Structure: optimized geometry

Cell: 5.557 7.095 6.820 Å, 90.00 90.00 90.00°
Fractional positions:
Mg: 0.365 0.097 0.111
Mg: 0.635 0.597 0.389
Mg: 0.135 0.903 0.611
Mg: 0.865 0.403 0.889
O: 0.128 0.304 0.059
O: 0.872 0.804 0.441
O: 0.372 0.696 0.559
O: 0.628 0.196 0.941
Pt: 0.627 0.732 0.002
Pt: 0.373 0.232 0.498
Pt: 0.873 0.268 0.502
Pt: 0.127 0.768 0.998
Se: 0.858 0.944 0.213
Se: 0.142 0.444 0.287
Se: 0.642 0.056 0.713
Se: 0.358 0.556 0.787

Calculated values
* electronic total energy: -4.924 eV per atom
* mass density: 7.76 g/cm³
* space-group type: P2_12_12_1

Compound: RbHg3IrS4
Source: OQMD via LeMat-Bulk
Functional: PBE
Structure: optimized geometry

Cell: 7.244 7.244 7.244 Å, 90.00 90.00 90.00°
Fractional positions:
Hg: 0.500 0.000 0.000
Hg: 0.000 0.500 0.000
Hg: 0.000 0.000 0.500
Ir: 0.000 0.000 0.000
Rb: 0.500 0.500 0.500
S: 0.825 0.175 0.175
S: 0.175 0.825 0.175
S: 0.175 0.175 0.825
S: 0.825 0.825 0.825

Calculated values
* electronic total energy: -3.086 eV per atom
* mass density: 4.40 g/cm³
* space-group type: P-43m

Compound: NiSbPdW
Source: OQMD via LeMat-Bulk
Functional: PBE
Structure: optimized geometry

Cell: 4.496 4.496 4.496 Å, 60.00 60.00 60.00°
Fractional positions:
Ni: 0.750 0.750 0.750
Pd: 0.250 0.250 0.250
Sb: 0.000 0.000 0.000
W: 0.500 0.500 0.500

Calculated values
* electronic total energy: -6.535 eV per atom
* mass density: 12.17 g/cm³
* space-group type: F-43m

Compound: TmCoPb
Source: OQMD via LeMat-Bulk
Functional: PBE
Structure: optimized geometry

Cell: 4.748 4.748 4.748 Å, 60.00 60.00 60.00°
Fractional positions:
Co: 0.250 0.250 0.250
Pb: 0.750 0.750 0.750
Tm: 0.000 0.000 0.000

Calculated values
* electronic total energy: -4.535 eV per atom
* mass density: 9.55 g/cm³
* space-group type: F-43m

Compound: FeNiAsOs
Source: OQMD via LeMat-Bulk
Functional: PBE
Structure: optimized geometry

Cell: 4.197 4.197 4.197 Å, 60.00 60.00 60.00°
Fractional positions:
As: 0.000 0.000 0.000
Fe: 0.750 0.750 0.750
Ni: 0.250 0.250 0.250
Os: 0.500 0.500 0.500

Calculated values
* electronic total energy: -7.041 eV per atom
* mass density: 12.06 g/cm³
* space-group type: F-43m